Record 1
This record from Alexandria describes a relaxed MgReOs2 crystal. The functional is PBE.

Results
Energy, eV/atom: -8.8655
Volume, Å³ per cell: 61
Magnetization, μB per cell: 0.00

```
4
Lattice="2.750 0.000 0.000 0.000 2.750 0.000 0.000 0.000 8.121" Properties=species:S:1:pos:R:3 pbc="T T T"
Mg 0.000 0.000 0.000
Re 1.375 1.375 5.897
Os 0.000 0.000 3.923
Os 1.375 1.375 2.110
```

Record 2
This record from Alexandria describes a relaxed Cs2BaOsBr6 crystal. The functional is PBE.

Results
Formation energy without anion corrections, eV per atom: -1.185
Energy, eV/atom: -3.6743
Volume, Å³ per cell: 369
Magnetization, μB per cell: 0.00

```
10
Lattice="0.000 5.693 5.693 5.693 0.000 5.693 5.693 5.693 0.000" Properties=species:S:1:pos:R:3 pbc="T T T"
Cs 2.847 2.847 2.847
Cs 8.540 8.540 8.540
Ba 0.000 0.000 0.000
Os 5.693 5.693 5.693
Br 5.693 5.693 3.143
Br 5.693 3.143 5.693
Br 8.243 5.693 5.693
Br 3.143 5.693 5.693
Br 5.693 8.243 5.693
Br 5.693 5.693 8.243
```

Record 3
This record from Alexandria describes a relaxed SmPu2N3 crystal. The functional is PBE.

Results
Formation energy without anion corrections, eV per atom: -0.270
Energy, eV/atom: -9.9961
Volume, Å³ per cell: 195
Magnetization, μB per cell: 4.01

```
12
Lattice="4.775 -4.289 0.000 4.775 4.289 0.000 0.000 0.000 4.756" Properties=species:S:1:pos:R:3 pbc="T T T"
Sm 4.775 3.061 3.567
Sm 4.775 -3.061 1.189
Pu 3.038 0.000 0.000
Pu 3.038 0.000 2.378
Pu 6.513 0.000 0.000
Pu 6.513 0.000 2.378
N 1.420 0.811 3.567
N 1.420 -0.811 1.189
N 4.775 0.831 1.189
N 4.775 -0.831 3.567
N 8.131 0.811 3.567
N 8.131 -0.811 1.189
```